[1]
Compound: Pm2InHg
Source: Alexandria
Functional: PBE
Structure: optimized geometry

Values from the calculation:
The calculation puts the energy above the lowest structure with this stoichiometry at 0.0066 eV/atom. The calculation puts the formation energy from the elements at -475 meV per atom. Its space group is No. 225. Its total energy is -3.61 eV/atom.

abc: 5.4362 5.4362 5.4362
angles: 60.00 60.00 60.00
Each line ends with the local moment (μB).
Atoms (fractional coordinates):
Pm  0.7500  0.7500  0.7500  0.17
Pm  0.2500  0.2500  0.2500  0.17
In  0.5000  0.5000  0.5000  -0.01
Hg  0.0000  0.0000  0.0000  0.03

---

[2]
Compound: AcMgSb
Source: Alexandria
Functional: PBE
Structure: optimized geometry

Values from the calculation:
The calculation puts the energy above the lowest structure with this stoichiometry at 0.2329 eV/atom. As for the formation energy (no corrections): -0.435 eV per atom. Its space group is No. 107. Its total energy is -3.71 eV/atom.

abc: 4.0095 4.0095 6.4565
angles: 108.09 108.09 90.00
Atoms (fractional coordinates):
Sb  0.3050  0.3050  0.6100
Ac  0.9973  0.9973  0.9946
Mg  0.6977  0.6977  0.3954

---

[3]
Compound: Sm8RuAu2
Source: Alexandria
Functional: PBE
Structure: optimized geometry

Values from the calculation:
The calculation puts the energy above the lowest structure with this stoichiometry at 0.0000 eV/atom. The calculation puts the formation energy from the elements at -353 meV per atom. Its space group is No. 12. Its total energy is -5.22 eV/atom.

abc: 5.1822 6.9700 9.2210
angles: 102.70 106.32 90.00
Atoms (fractional coordinates):
Sm  0.6587  0.9678  0.3174
Sm  0.2021  0.3171  0.4042
Sm  0.9720  0.2124  0.9440
Sm  0.0280  0.7876  0.0560
Sm  0.4122  0.5614  0.8244
Sm  0.7979  0.6829  0.5958
Sm  0.3413  0.0322  0.6826
Sm  0.5878  0.4386  0.1756
Au  0.1906  0.7301  0.3812
Au  0.8094  0.2699  0.6188
Ru  0.5000  0.0000  0.0000

---

[4]
Compound: Y2CoBiC
Source: Alexandria
Functional: PBE
Structure: optimized geometry

Values from the calculation:
The calculation puts the formation energy from the elements at -385 meV per atom. Its space group is No. 123. Its total energy is -7.01 eV/atom.

abc: 5.1274 5.1274 3.8170
angles: 90.00 90.00 90.00
Each line ends with the local moment (μB).
Atoms (fractional coordinates):
Y  0.5000  0.0000  0.0000  0.02
Y  0.0000  0.5000  0.0000  0.02
C  0.0000  0.0000  0.0000  0.02
Co  0.0000  0.0000  0.5000  0.87
Bi  0.5000  0.5000  0.5000  0.07

---

[5]
Compound: BaSi2Sb2
Source: Alexandria
Functional: PBE
Structure: optimized geometry

Values from the calculation:
As for the formation energy (no corrections): -0.013 eV per atom. Its space group is No. 127. Its total energy is -4.22 eV/atom.

abc: 8.0595 8.0595 4.6852
angles: 90.00 90.00 90.00
Atoms (fractional coordinates):
Ba  0.5000  0.5000  0.0000
Ba  0.0000  0.0000  0.0000
Sb  0.3730  0.1270  0.5000
Sb  0.1270  0.6270  0.5000
Sb  0.8730  0.3730  0.5000
Sb  0.6270  0.8730  0.5000
Si  0.3988  0.8988  0.0000
Si  0.1012  0.3988  0.0000
Si  0.8988  0.6012  0.0000
Si  0.6012  0.1012  0.0000

---

[6]
Compound: As2RuBr
Source: Alexandria
Functional: PBE
Structure: optimized geometry

Values from the calculation:
The calculation puts the energy above the lowest structure with this stoichiometry at 0.7435 eV/atom. As for the formation energy (no corrections): 0.668 eV per atom. Its space group is No. 119. Its total energy is -4.39 eV/atom.

abc: 4.6539 4.6539 4.6539
angles: 120.14 120.14 89.76
Atoms (fractional coordinates):
Br  0.5000  0.5000  0.0000
As  0.0000  0.0000  0.0000
As  0.2500  0.7500  0.5000
Ru  0.7500  0.2500  0.5000

---

[7]
Compound: Cs2HgPbAu
Source: Alexandria
Functional: PBE
Structure: optimized geometry

Values from the calculation:
The calculation puts the formation energy from the elements at -107 meV per atom. Its space group is No. 123. Its total energy is -1.91 eV/atom.

abc: 7.0413 7.0413 5.4908
angles: 90.00 90.00 90.00
Atoms (fractional coordinates):
Cs  0.5000  0.0000  0.0000
Cs  0.0000  0.5000  0.0000
Hg  0.5000  0.5000  0.5000
Pb  0.0000  0.0000  0.5000
Au  0.0000  0.0000  0.0000

---

[8]
Compound: AlAg2Os
Source: Alexandria
Functional: PBE
Structure: optimized geometry

Values from the calculation:
The calculation puts the formation energy from the elements at 186 meV per atom. Its space group is No. 6. Its total energy is -4.98 eV/atom.

abc: 4.0655 2.7948 5.8658
angles: 76.19 90.00 90.00
Atoms (fractional coordinates):
Os  0.5000  0.7096  0.7040
Ag  0.0000  0.0609  0.0053
Ag  0.5000  0.4436  0.2421
Al  0.0000  0.2858  0.5486

---

[9]
Compound: KBeRu3
Source: Alexandria
Functional: PBE
Structure: optimized geometry

Values from the calculation:
The calculation puts the energy above the lowest structure with this stoichiometry at 0.0000 eV/atom. The calculation puts the formation energy from the elements at 1167 meV per atom. Its space group is No. 221. Its total energy is -5.36 eV/atom.

abc: 4.3622 4.3622 4.3622
angles: 90.00 90.00 90.00
Each line ends with the local moment (μB).
Atoms (fractional coordinates):
Be  0.0000  0.0000  0.0000  -0.04
Ru  0.5000  0.0000  0.0000  0.60
Ru  0.0000  0.0000  0.5000  0.99
Ru  0.0000  0.5000  0.0000  0.95
K  0.5000  0.5000  0.5000  0.01

---

[10]
Compound: Tb2DyN2
Source: Alexandria
Functional: PBE
Structure: optimized geometry

Values from the calculation:
As for the formation energy (no corrections): -1.296 eV per atom. Its space group is No. 12. Its total energy is -7.40 eV/atom.

abc: 4.9824 6.1159 7.7868
angles: 59.80 71.34 65.96
Atoms (fractional coordinates):
Tb  0.9929  0.2788  0.7353
Tb  0.3365  0.7528  0.5743
Tb  0.0071  0.7212  0.2647
Tb  0.6635  0.2472  0.4257
N  0.4983  0.7556  0.2478
N  0.1661  0.2520  0.4158
N  0.8339  0.7480  0.5842
N  0.5017  0.2444  0.7522
Dy  0.6572  0.7788  0.9068
Dy  0.3428  0.2212  0.0932

---

[11]
Compound: PrPuAsO2
Source: Alexandria
Functional: PBE
Structure: optimized geometry

Values from the calculation:
As for the formation energy (no corrections): -2.409 eV per atom. Its space group is No. 107. Its total energy is -9.14 eV/atom.

abc: 3.8795 3.8795 6.8750
angles: 106.39 106.39 90.00
Each line ends with the local moment (μB).
Atoms (fractional coordinates):
O  0.2445  0.7445  0.4889  -0.07
O  0.7445  0.2445  0.4889  -0.07
As  0.5055  0.5055  0.0110  -0.14
Pu  0.1523  0.1523  0.3046  4.64
Pr  0.8533  0.8533  0.7065  0.00

---

[12]
Compound: Ac8RuPt2
Source: Alexandria
Functional: PBE
Structure: optimized geometry

Values from the calculation:
The calculation puts the formation energy from the elements at -457 meV per atom. Its space group is No. 12. Its total energy is -5.39 eV/atom.

abc: 7.1765 8.0787 8.0787
angles: 71.84 75.63 75.63
Atoms (fractional coordinates):
Ac  0.7412  0.8665  0.8665
Ac  0.2409  0.6459  0.0604
Ac  0.7591  0.3541  0.9396
Ac  0.2409  0.0604  0.6459
Ac  0.2237  0.5780  0.5780
Ac  0.2588  0.1335  0.1335
Ac  0.7763  0.4220  0.4220
Ac  0.7591  0.9396  0.3541
Pt  0.5426  0.6857  0.6857
Pt  0.4574  0.3143  0.3143
Ru  0.0000  0.0000  0.0000

---

> What is the total energy in the tenth record?

-7.40 eV/atom

---

> Which formula does entry 9 have?

KBeRu3

---

> Among the records above, which one has the lowest total energy?

PrPuAsO2